[1]
The following is a PBE calculation of a relaxed FeMo3 crystal, from the Alexandria database.

Properties
As for the symmetry: Cmmm. The crystal system is orthorhombic.

a b c (Å): 5.131 5.131 2.603
angles (deg): 90.00 90.00 117.38
Each line ends with the local moment (μB).
Sites, in units of the cell vectors:
Mo 0.500 0.000 0.500  0.01
Mo 0.000 0.500 0.500  0.01
Mo 0.500 0.500 0.000  -0.03
Fe 0.000 0.000 0.000  2.44

[2]
The following is a PBE calculation of a relaxed Fe3Mo crystal, from the Alexandria database.

Properties
As for the symmetry: Pm-3m. The crystal system is cubic.

a b c (Å): 4.527 4.527 4.527
angles (deg): 90.00 90.00 90.00
Each line ends with the local moment (μB).
Sites, in units of the cell vectors:
Fe 0.000 0.500 0.000  2.02
Fe 0.500 0.000 0.000  2.02
Fe 0.000 0.000 0.500  2.02
Mo 0.000 0.000 0.000  -0.63

Number 1: ΔH_f (0 K) 0.302 eV/atom, DOS(E_F) 0.86 states/eV/atom. Number 2: ΔH_f (0 K) 2.131 eV/atom, DOS(E_F) 1.09 states/eV/atom.